1.
! SmGaI | the Alexandria database | PBE | optimized geometry; values from VASP
! Density of states at the Fermi level: 0.346 states/eV/atom
! Crystal system: trigonal
! Space-group type: R-3m (166)
! ΔE_f (raw): -1.07 eV per atom
&SYSTEM
  ibrav = 0, nat = 6, ntyp = 3
/
ATOMIC_SPECIES
I 126.90 I.upf
Ga 69.72 Ga.upf
Sm 150.36 Sm.upf
CELL_PARAMETERS angstrom
4.197 0.000 0.757
2.030 3.673 0.757
-0.084 -0.049 12.474
ATOMIC_POSITIONS angstrom
I 1.720 1.015 2.475
Ga 0.941 0.555 6.795
I 4.423 2.609 11.513
Ga 5.202 3.069 7.193
Sm 3.436 2.027 4.972
Sm 2.707 1.597 9.016

=====

2.
! BaMoIr2Cl | the Alexandria database | PBE | optimized geometry; values from VASP
! Density of states at the Fermi level: 1.238 states/eV/atom
! Crystal system: tetragonal
! Space-group type: P4/mmm (123)
! ΔE_f (raw): 0.54 eV per atom
&SYSTEM
  ibrav = 0, nat = 5, ntyp = 4
/
ATOMIC_SPECIES
Ir 192.22 Ir.upf
Mo 95.94 Mo.upf
Ba 137.33 Ba.upf
Cl 35.45 Cl.upf
CELL_PARAMETERS angstrom
4.663 0.000 0.000
0.000 6.926 0.000
0.000 0.000 4.663
ATOMIC_POSITIONS angstrom
Ir 0.000 0.000 2.332
Mo 0.000 0.000 0.000
Ba 0.000 3.463 0.000
Cl 2.332 3.463 2.332
Ir 2.332 0.000 0.000